Entry 1:
First-principles (PBE-GGA) data for a relaxed Al3InI crystal, as listed in Alexandria via LeMat-Bulk.

Computed properties:
* energy relative to the elements, uncorrected: 0.576 eV per atom
* magnetization: 0.00 μB per formula unit

Cell: 5.418 5.418 5.418 Å, 90.00 90.00 90.00°
Sites, in units of the cell vectors:
1 I 0.500 0.500 0.500
2 Al 0.500 0.000 0.000
3 Al 0.000 0.000 0.500
4 Al 0.000 0.500 0.000
5 In 0.000 0.000 0.000

---

Entry 2:
First-principles (PBE-GGA) data for a relaxed AlInI2 crystal, as listed in Alexandria via LeMat-Bulk.

Computed properties:
* energy relative to the elements, uncorrected: -0.082 eV per atom
* magnetization: 0.00 μB per formula unit

Cell: 7.741 7.741 9.337 Å, 65.51 65.51 90.00°
Sites, in units of the cell vectors:
1 I 0.147 0.625 0.250
2 I 0.375 0.397 0.750
3 I 0.875 0.853 0.750
4 I 0.603 0.125 0.250
5 Al 0.500 0.500 0.000
6 Al 0.250 0.750 0.500
7 In 0.000 0.000 0.000
8 In 0.750 0.250 0.500

---

Entry 3:
First-principles (PBE-GGA) data for a relaxed Al2InI crystal, as listed in Alexandria via LeMat-Bulk.

Computed properties:
* energy relative to the elements, uncorrected: 0.270 eV per atom
* magnetization: 0.00 μB per formula unit

Cell: 6.458 6.458 8.133 Å, 66.61 66.61 90.00°
Sites, in units of the cell vectors:
1 Al 0.574 0.125 0.250
2 Al 0.375 0.426 0.750
3 Al 0.176 0.625 0.250
4 Al 0.875 0.824 0.750
5 In 0.250 0.750 0.500
6 In 0.500 0.500 0.000
7 I 0.750 0.250 0.500
8 I 0.000 0.000 0.000

---

Entry 4:
First-principles (PBE-GGA) data for a relaxed AlIn2I5 crystal, as listed in Alexandria via LeMat-Bulk.

Computed properties:
* energy relative to the elements, uncorrected: -0.501 eV per atom
* magnetization: 0.00 μB per formula unit

Cell: 8.110 8.109 8.286 Å, 119.25 119.25 90.08°
Sites, in units of the cell vectors:
1 In 0.691 0.190 0.382
2 In 0.190 0.691 0.381
3 Al 0.985 0.985 0.970
4 I 0.802 0.268 0.070
5 I 0.268 0.802 0.070
6 I 0.269 0.269 0.072
7 I 0.770 0.770 0.539
8 I 0.802 0.802 0.070

---

Entry 5:
First-principles (PBE-GGA) data for a relaxed AlIn2I4 crystal, as listed in Alexandria via LeMat-Bulk.

Computed properties:
* energy relative to the elements, uncorrected: -0.322 eV per atom
* magnetization: 0.00 μB per formula unit

Cell: 5.888 5.888 9.874 Å, 107.35 107.35 90.00°
Sites, in units of the cell vectors:
1 I 0.660 0.660 0.826
2 I 0.340 0.834 0.174
3 I 0.834 0.340 0.174
4 I 0.166 0.166 0.826
5 Al 0.500 0.500 0.000
6 In 0.250 0.750 0.500
7 In 0.750 0.250 0.500

---

Entry 6:
First-principles (PBE-GGA) data for a relaxed Al3In6I14 crystal, as listed in Alexandria via LeMat-Bulk.

Computed properties:
* energy relative to the elements, uncorrected: -0.516 eV per atom
* magnetization: 0.01 μB per formula unit

Cell: 6.948 12.797 12.797 Å, 120.00 90.00 90.00°
Sites, in units of the cell vectors:
1 I 0.474 0.193 0.742
2 I 0.738 0.814 0.555
3 I 0.965 0.785 0.857
4 I 0.474 0.549 0.807
5 I 0.965 0.071 0.215
6 I 0.965 0.143 0.929
7 I 0.474 0.258 0.451
8 I 0.270 0.594 0.483
9 I 0.738 0.445 0.259
10 I 0.270 0.517 0.112
11 I 0.270 0.888 0.406
12 I 0.738 0.741 0.186
13 I 0.471 0.000 0.000
14 I 0.981 0.333 0.667
15 In 0.217 0.331 0.220
16 In 0.737 0.548 0.555
17 In 0.737 0.445 0.993
18 In 0.217 0.889 0.669
19 In 0.737 0.007 0.452
20 In 0.217 0.780 0.111
21 Al 0.347 0.333 0.667
22 Al 0.837 0.000 0.000
23 Al 0.506 0.667 0.333

---

Entry 7:
First-principles (PBE-GGA) data for a relaxed AlIn3I crystal, as listed in Alexandria via LeMat-Bulk.

Computed properties:
* energy relative to the elements, uncorrected: 0.083 eV per atom
* magnetization: 0.00 μB per formula unit

Cell: 5.500 5.500 5.500 Å, 90.00 90.00 90.00°
Sites, in units of the cell vectors:
1 In 0.000 0.000 0.500
2 In 0.500 0.000 0.000
3 In 0.000 0.500 0.000
4 I 0.500 0.500 0.500
5 Al 0.000 0.000 0.000

---

Entry 8:
First-principles (PBE-GGA) data for a relaxed AlIn3I6 crystal, as listed in Alexandria via LeMat-Bulk.

Computed properties:
* energy relative to the elements, uncorrected: -0.539 eV per atom
* magnetization: 0.00 μB per formula unit

Cell: 8.376 10.883 10.883 Å, 103.68 90.00 90.00°
Sites, in units of the cell vectors:
1 Al 0.048 0.194 0.806
2 Al 0.548 0.806 0.194
3 I 0.670 0.898 0.414
4 I 0.638 0.950 0.050
5 I 0.170 0.102 0.586
6 I 0.688 0.311 0.364
7 I 0.245 0.794 0.206
8 I 0.188 0.364 0.311
9 I 0.688 0.636 0.689
10 I 0.138 0.050 0.950
11 I 0.188 0.689 0.636
12 I 0.745 0.206 0.794
13 I 0.670 0.586 0.102
14 I 0.170 0.414 0.898
15 In 0.471 0.287 0.107
16 In 0.897 0.588 0.412
17 In 0.471 0.893 0.713
18 In 0.971 0.713 0.893
19 In 0.397 0.412 0.588
20 In 0.971 0.107 0.287

---

Entry 9:
First-principles (PBE-GGA) data for a relaxed AlIn2I5 crystal, as listed in Alexandria via LeMat-Bulk.

Computed properties:
* energy relative to the elements, uncorrected: -0.570 eV per atom
* magnetization: 0.00 μB per formula unit

Cell: 10.449 11.989 14.639 Å, 72.60 69.09 64.16°
Sites, in units of the cell vectors:
1 Al 0.913 0.020 0.323
2 Al 0.745 0.520 0.823
3 Al 0.255 0.480 0.177
4 Al 0.087 0.980 0.677
5 I 0.788 0.251 0.342
6 I 0.381 0.249 0.158
7 I 0.114 0.007 0.836
8 I 0.958 0.493 0.664
9 I 0.374 0.144 0.900
10 I 0.203 0.117 0.529
11 I 0.886 0.993 0.164
12 I 0.807 0.060 0.696
13 I 0.582 0.644 0.400
14 I 0.563 0.440 0.804
15 I 0.797 0.883 0.471
16 I 0.437 0.560 0.196
17 I 0.619 0.751 0.842
18 I 0.626 0.856 0.100
19 I 0.042 0.507 0.336
20 I 0.151 0.617 0.029
21 I 0.418 0.356 0.600
22 I 0.849 0.383 0.971
23 I 0.212 0.749 0.658
24 I 0.193 0.940 0.304
25 In 0.329 0.873 0.053
26 In 0.187 0.442 0.815
27 In 0.556 0.942 0.315
28 In 0.744 0.373 0.553
29 In 0.813 0.558 0.185
30 In 0.444 0.058 0.685
31 In 0.671 0.127 0.947
32 In 0.256 0.627 0.447

---

Entry 10:
First-principles (PBE-GGA) data for a relaxed K2AlInI6 crystal, as listed in Alexandria via LeMat-Bulk.

Computed properties:
* energy relative to the elements, uncorrected: -0.854 eV per atom
* magnetization: 0.00 μB per formula unit

Cell: 8.539 8.539 8.539 Å, 60.00 60.00 60.00°
Sites, in units of the cell vectors:
1 I 0.231 0.231 0.769
2 I 0.769 0.231 0.231
3 I 0.769 0.231 0.769
4 I 0.231 0.769 0.769
5 I 0.769 0.769 0.231
6 I 0.231 0.769 0.231
7 K 0.750 0.750 0.750
8 K 0.250 0.250 0.250
9 Al 0.000 0.000 0.000
10 In 0.500 0.500 0.500

---

Entry 11:
First-principles (PBE-GGA) data for a relaxed LiAl2InI8 crystal, as listed in Alexandria via LeMat-Bulk.

Computed properties:
* energy relative to the elements, uncorrected: -0.671 eV per atom
* magnetization: 0.00 μB per formula unit

Cell: 8.266 8.266 9.517 Å, 90.00 90.00 120.00°
Sites, in units of the cell vectors:
1 In 0.000 0.000 0.500
2 I 0.837 0.163 0.209
3 I 0.327 0.163 0.209
4 I 0.667 0.333 0.564
5 I 0.333 0.667 0.436
6 I 0.673 0.837 0.791
7 I 0.163 0.837 0.791
8 I 0.163 0.327 0.791
9 I 0.837 0.673 0.209
10 Al 0.667 0.333 0.301
11 Al 0.333 0.667 0.699
12 Li 0.000 0.000 0.000

---

Entry 12:
First-principles (PBE-GGA) data for a relaxed LiAlInI5 crystal, as listed in Alexandria via LeMat-Bulk.

Computed properties:
* energy relative to the elements, uncorrected: -0.733 eV per atom
* magnetization: 0.00 μB per formula unit

Cell: 8.497 8.497 10.195 Å, 103.30 103.30 103.89°
Sites, in units of the cell vectors:
1 Al 0.664 0.336 0.250
2 Al 0.336 0.664 0.750
3 I 0.344 0.897 0.624
4 I 0.103 0.656 0.876
5 I 0.383 0.267 0.058
6 I 0.930 0.070 0.750
7 I 0.897 0.344 0.124
8 I 0.267 0.383 0.558
9 I 0.733 0.617 0.442
10 I 0.617 0.733 0.942
11 I 0.070 0.930 0.250
12 I 0.656 0.103 0.376
13 In 0.690 0.310 0.750
14 In 0.310 0.690 0.250
15 Li 0.000 0.000 0.500
16 Li 0.000 0.000 0.000